Here is an optimized crystal structure of Rb3ZnC from Alexandria via LeMat-Bulk. Energies are from GGA-PBE.

SG   Pm-3m (221)
Formation energy from the elements   0.971 eV per atom
Total magnetic moment   1.34 μB per cell
Density of states at the Fermi level   0.518 states/eV per atom
Offset from the most stable computed form   0 meV/atom

Lattice parameters (Å, degrees): 6.1390 6.1390 6.1390 90.00 90.00 90.00
Element x y z (fractional)
Rb: 0.0000 0.0000 0.5000
Rb: 0.0000 0.5000 0.0000
Rb: 0.5000 0.0000 0.0000
Zn: 0.5000 0.5000 0.5000
C: 0.0000 0.0000 0.0000